1.
# KNa2Cd2

A relaxed structure of KNa2Cd2 (PBEsol, Alexandria).

Lattice parameters (Å, degrees): 3.4738 9.3393 9.3393 90.00 90.00 90.00
Sites, in units of the cell vectors:
Na  0.5000  0.8220  0.3220
Na  0.5000  0.1780  0.6780
Na  0.5000  0.3220  0.1780
Na  0.5000  0.6780  0.8220
Cd  0.0000  0.1113  0.3887
Cd  0.0000  0.3887  0.8887
Cd  0.0000  0.8887  0.6113
Cd  0.0000  0.6113  0.1113
K  0.0000  0.5000  0.5000
K  0.0000  0.0000  0.0000

Output
The space-group type is No. 127. As for the formation energy from the elements: 0.0 eV/f.u. Its crystal system is tetragonal. The value obtained for the final energy is -1.26 eV per atom. As for the offset from the most stable computed form: 0 meV per atom.

2.
# La3Si3Ni

A relaxed structure of La3Si3Ni (PBEsol, Alexandria).

Lattice parameters (Å, degrees): 4.0368 4.3285 9.5004 103.17 102.27 90.00
Sites, in units of the cell vectors:
Si  0.8687  0.3687  0.7375
Si  0.5574  0.5574  0.1148
Si  0.1367  0.6367  0.2733
La  0.6864  0.1864  0.3728
La  0.9995  0.9995  0.9990
La  0.3192  0.8192  0.6383
Ni  0.4321  0.4321  0.8642

Output
The space-group type is No. 44. Its raw formation energy is -0.76 eV/atom. Its crystal system is orthorhombic. The value obtained for the final energy is -6.39 eV per atom.

3.
# Re3RuSe

A relaxed structure of Re3RuSe (PBEsol, Alexandria).

Lattice parameters (Å, degrees): 4.4277 4.4277 4.4277 90.00 90.00 90.00
Each line ends with the local moment (μB).
Sites, in units of the cell vectors:
Re  0.5000  0.0000  0.0000  0.01
Re  0.0000  0.0000  0.5000  0.01
Re  0.0000  0.5000  0.0000  0.01
Ru  0.5000  0.5000  0.5000  0.23
Se  0.0000  0.0000  0.0000  0.01

Output
The space-group type is No. 221. Its raw formation energy is 2.02 eV/atom. Its crystal system is cubic. The value obtained for the final energy is -8.78 eV per atom.

> What is the final energy in the second record?

-6.39 eV per atom